Material: SmYBeGa
Method: DFT, PBE
State: optimized geometry

The structure belongs to space group F-43m (No. 216); the cell edges are 7.0858, 7.0858 and 7.0858 Å and the angles 90.00°, 90.00° and 90.00°. The asymmetric unit holds Sm at (0.0000, 0.0000, 0.0000), Y at (0.0000, 0.0000, 0.5000), Be at (0.2500, 0.2500, 0.2500) and Ga at (0.2500, 0.2500, 0.7500).

The calculation puts the density of states at the Fermi level at 0.88 states/eV per atom. The energy of formation from the pure elements is -0.90 eV/f.u.

***

Material: MgAgTe2
Method: DFT, PBE
State: optimized geometry

The structure belongs to space group Cm (No. 8); the cell edges are 8.7080, 4.1020 and 6.6111 Å and the angles 90.00°, 109.96° and 90.00°. The asymmetric unit holds Mg at (0.0000, 0.0000, 0.0000), Ag at (0.2790, 0.5000, 0.2092), Te at (0.0308, 0.5000, 0.3771) and Te at (0.2421, 0.0000, 0.8084).

The calculation puts the density of states at the Fermi level at 0.35 states/eV per atom. The calculation puts the uncorrected formation energy at -295.4 meV per atom.

***

Material: TlPt2Au2
Method: DFT, PBE
State: optimized geometry

The structure belongs to space group P4/mbm (No. 127); the cell edges are 8.2554, 8.2554 and 2.8707 Å and the angles 90.00°, 90.00° and 90.00°. The asymmetric unit holds Tl at (0.0000, 0.0000, 0.0000), Pt at (0.1190, 0.3810, 0.5000) and Au at (0.1768, 0.6768, 0.0000).

The calculation puts the density of states at the Fermi level at 0.65 states/eV per atom. The energy of formation from the pure elements is 0.68 eV/f.u.

***

Material: MnFe2Ni
Method: DFT, PBE
State: optimized geometry

The structure belongs to space group Cmmm (No. 65); the cell edges are 4.9836, 7.2329 and 2.4977 Å and the angles 90.00°, 90.00° and 90.00°. The asymmetric unit holds Mn at (0.0000, 0.0000, 0.0000), Fe at (0.2500, 0.2500, 0.5000) and Ni at (0.0000, 0.5000, 0.0000).

The calculation puts the density of states at the Fermi level at 1.01 states/eV per atom. The energy of formation from the pure elements is 0.17 eV/f.u.

***

Material: CrCdSe2
Method: DFT, PBE
State: optimized geometry

The structure belongs to space group Pmmm (No. 47); the cell edges are 3.6859, 3.7777 and 7.6452 Å and the angles 90.00°, 90.00° and 90.00°. The asymmetric unit holds Cr at (0.0000, 0.0000, 0.0000), Cd at (0.0000, 0.5000, 0.5000), Se at (0.5000, 0.0000, 0.5000) and Se at (0.5000, 0.5000, 0.0000).

The calculation puts the density of states at the Fermi level at 0.69 states/eV per atom. The calculation puts the uncorrected formation energy at -47.2 meV per atom.

***

Material: AlAs2Ir
Method: DFT, PBE
State: optimized geometry

The structure belongs to space group I-42d (No. 122); the cell edges are 5.7805, 5.7805 and 10.7620 Å and the angles 90.00°, 90.00° and 90.00°. The asymmetric unit holds Al at (0.0000, 0.0000, 0.0000), As at (0.2350, 0.2500, 0.6250) and Ir at (0.0000, 0.0000, 0.5000).

The calculation puts the density of states at the Fermi level at 0.51 states/eV per atom. The energy of formation from the pure elements is -0.20 eV/f.u.

***

Material: Cs2Cu2Sb2Se5
Method: DFT, PBE
State: optimized geometry

The structure belongs to space group P-1 (No. 2); the cell edges are 7.7224, 9.0794 and 10.4899 Å and the angles 92.20°, 91.00° and 102.86°. The asymmetric unit holds Cs at (0.2211, 0.3036, 0.3971), Cs at (0.2245, 0.4457, 0.8765), Cu at (0.0911, 0.9910, 0.1101), Cu at (0.3700, 0.8699, 0.0733), Sb at (0.3033, 0.8578, 0.3705), Sb at (0.3198, 0.9235, 0.7598), Se at (0.0140, 0.1133, 0.6860), Se at (0.0735, 0.8059, 0.9229), Se at (0.2608, 0.6930, 0.5831), Se at (0.3479, 0.6543, 0.2070) and Se at (0.4172, 0.1509, 0.1116).

The calculation puts the uncorrected formation energy at -563.5 meV per atom.

***

Material: Tl2NiB
Method: DFT, PBE
State: optimized geometry

The structure belongs to space group I-42d (No. 122); the cell edges are 6.7807, 6.7807 and 6.7177 Å and the angles 90.00°, 90.00° and 90.00°. The asymmetric unit holds Tl at (0.2247, 0.2500, 0.1250), Ni at (0.0000, 0.0000, 0.5000) and B at (0.0000, 0.0000, 0.0000).

The calculation puts the density of states at the Fermi level at 0.79 states/eV per atom. The energy of formation from the pure elements is 4.24 eV/f.u.

***

Material: U2SiNi4Ge3
Method: DFT, PBE
State: optimized geometry

The structure belongs to space group P-4m2 (No. 115); the cell edges are 4.0757, 4.0757 and 9.4383 Å and the angles 90.00°, 90.00° and 90.00°. The asymmetric unit holds U at (0.0000, 0.5000, 0.2482), Si at (0.0000, 0.0000, 0.5000), Ni at (0.0000, 0.0000, 0.0000), Ni at (0.0000, 0.5000, 0.6203), Ni at (0.5000, 0.5000, 0.0000), Ge at (0.0000, 0.5000, 0.8670) and Ge at (0.5000, 0.5000, 0.5000).

The calculation puts the density of states at the Fermi level at 1.99 states/eV per atom. The calculation puts the uncorrected formation energy at -449.0 meV per atom.

***

Material: NaLiAu2F
Method: DFT, PBE
State: optimized geometry

The structure belongs to space group P4/mmm (No. 123); the cell edges are 5.5733, 5.5733 and 3.2478 Å and the angles 90.00°, 90.00° and 90.00°. The asymmetric unit holds Na at (0.0000, 0.0000, 0.0000), Li at (0.5000, 0.5000, 0.5000), Au at (0.0000, 0.5000, 0.5000) and F at (0.5000, 0.5000, 0.0000).

The calculation puts the density of states at the Fermi level at 0.20 states/eV per atom. The calculation puts the uncorrected formation energy at -707.9 meV per atom.

***

Material: CdCu3Sn
Method: DFT, PBE
State: optimized geometry

The structure belongs to space group Pm-3m (No. 221); the cell edges are 4.8625, 4.8625 and 4.8625 Å and the angles 90.00°, 90.00° and 90.00°. The asymmetric unit holds Cd at (0.0000, 0.0000, 0.0000), Cu at (0.0000, 0.5000, 0.5000) and Sn at (0.5000, 0.5000, 0.5000).

The calculation puts the density of states at the Fermi level at 0.32 states/eV per atom. The energy of formation from the pure elements is 3.23 eV/f.u.

***

Material: NaHg
Method: DFT, PBE
State: optimized geometry

The structure belongs to space group Cmcm (No. 63); the cell edges are 7.2250, 10.9075 and 5.2780 Å and the angles 90.00°, 90.00° and 90.00°. The asymmetric unit holds Na at (0.0000, 0.1309, 0.2500), Na at (0.0000, 0.3316, 0.7500) and Hg at (0.2219, 0.4062, 0.2500).

The calculation puts the density of states at the Fermi level at 0.32 states/eV per atom. The energy of formation from the pure elements is -0.50 eV/f.u.

***

Material: BaPmMg2Hg4
Method: DFT, PBE
State: optimized geometry

The structure belongs to space group R-3m (No. 166, hexagonal axes); the cell edges are 5.1774, 5.1774 and 28.1290 Å and the angles 90.00°, 90.00° and 120.00°. The asymmetric unit holds Ba at (0.0000, 0.0000, 0.0000), Pm at (0.0000, 0.0000, 0.5000), Mg at (0.0000, 0.0000, 0.2395), Hg at (0.0000, 0.0000, 0.1260) and Hg at (0.0000, 0.0000, 0.3889).

The calculation puts the density of states at the Fermi level at 0.54 states/eV per atom. The energy of formation from the pure elements is -3.27 eV/f.u.

***

Material: Li2MgTe
Method: DFT, PBE
State: optimized geometry

The structure belongs to space group R-3m (No. 166, hexagonal axes); the cell edges are 3.5006, 3.5006 and 27.6612 Å and the angles 90.00°, 90.00° and 120.00°. The asymmetric unit holds Li at (0.0000, 0.0000, 0.2368), Mg at (0.0000, 0.0000, 0.0000) and Te at (0.0000, 0.0000, 0.5000).

The calculation puts the density of states at the Fermi level at 0.24 states/eV per atom. The calculation puts the uncorrected formation energy at -256.1 meV per atom.

***

Material: AlBiN2
Method: DFT, PBE
State: optimized geometry

The structure belongs to space group Fm-3m (No. 225); the cell edges are 5.9197, 5.9197 and 5.9197 Å and the angles 90.00°, 90.00° and 90.00°. The asymmetric unit holds Al at (0.0000, 0.0000, 0.0000), Bi at (0.0000, 0.0000, 0.5000) and N at (0.2500, 0.2500, 0.2500).

The calculation puts the density of states at the Fermi level at 0.33 states/eV per atom. The calculation puts the uncorrected formation energy at 1091.0 meV per atom.

***

Material: CoAg2AsIr
Method: DFT, PBE
State: optimized geometry

The structure belongs to space group P4/mmm (No. 123); the cell edges are 4.7520, 4.7520 and 4.3738 Å and the angles 90.00°, 90.00° and 90.00°. The asymmetric unit holds Co at (0.0000, 0.0000, 0.0000), Ag at (0.0000, 0.5000, 0.0000), As at (0.5000, 0.5000, 0.5000) and Ir at (0.0000, 0.0000, 0.5000).

The calculation puts the density of states at the Fermi level at 1.32 states/eV per atom. The energy of formation from the pure elements is 5.77 eV/f.u.

***

Material: Na2LiAgTe2
Method: DFT, PBE
State: optimized geometry

The structure belongs to space group Ibam (No. 72); the cell edges are 6.4176, 14.9191 and 6.4222 Å and the angles 90.00°, 90.00° and 90.00°. The asymmetric unit holds Na at (0.2319, 0.1683, 0.0000), Li at (0.0000, 0.5000, 0.2500), Ag at (0.0000, 0.0000, 0.2500) and Te at (0.2346, 0.3819, 0.0000).

The calculation puts the uncorrected formation energy at -779.3 meV per atom.

***

Material: InPd5Pt8
Method: DFT, PBE
State: optimized geometry

The structure belongs to space group I-4 (No. 82); the cell edges are 7.4090, 7.4090 and 8.7878 Å and the angles 90.00°, 90.00° and 90.00°. The asymmetric unit holds In at (0.0000, 0.0000, 0.0000), Pd at (0.0000, 0.5000, 0.7500), Pd at (0.1535, 0.7181, 0.3117), Pt at (0.0739, 0.8300, 0.6174) and Pt at (0.0857, 0.6581, 0.0143).

The calculation puts the density of states at the Fermi level at 1.67 states/eV per atom. The energy of formation from the pure elements is 1.43 eV/f.u.

***

Material: CaPtW
Method: DFT, PBE
State: optimized geometry

The structure belongs to space group P2_1/m (No. 11); the cell edges are 3.2109, 4.4533 and 8.5508 Å and the angles 90.00°, 90.06° and 90.00°. The asymmetric unit holds Ca at (0.2489, 0.2500, 0.1424), Pt at (0.2507, 0.2500, 0.7560) and W at (0.2500, 0.7500, 0.4860).

The calculation puts the density of states at the Fermi level at 0.94 states/eV per atom. The energy of formation from the pure elements is -0.49 eV/f.u.

***

Material: LaThCo3
Method: DFT, PBE
State: optimized geometry

The structure belongs to space group Cmcm (No. 63); the cell edges are 4.0797, 23.8250 and 4.0251 Å and the angles 90.00°, 90.00° and 90.00°. The asymmetric unit holds La at (0.0000, 0.0702, 0.2500), Th at (0.0000, 0.2020, 0.7500), Co at (0.0000, 0.3208, 0.7500), Co at (0.0000, 0.3764, 0.2500) and Co at (0.0000, 0.4764, 0.2500).

The calculation puts the density of states at the Fermi level at 0.99 states/eV per atom. The energy of formation from the pure elements is -0.81 eV/f.u.

***

Material: ReTc2W2
Method: DFT, PBE
State: optimized geometry

The structure belongs to space group I4/mmm (No. 139); the cell edges are 3.3439, 3.3439 and 14.9484 Å and the angles 90.00°, 90.00° and 90.00°. The asymmetric unit holds Re at (0.0000, 0.0000, 0.0000), Tc at (0.0000, 0.5000, 0.2500) and W at (0.0000, 0.0000, 0.4032).

The calculation puts the density of states at the Fermi level at 0.85 states/eV per atom. The energy of formation from the pure elements is 3.83 eV/f.u.

***

Material: RbTlPb
Method: DFT, PBE
State: optimized geometry

The structure belongs to space group P-6m2 (No. 187); the cell edges are 5.5539, 5.5539 and 8.3999 Å and the angles 90.00°, 90.00° and 120.00°. The asymmetric unit holds Rb at (0.0000, 0.0000, 0.0000), Rb at (0.0000, 0.0000, 0.5000), Tl at (0.6667, 0.3333, 0.2002) and Pb at (0.3333, 0.6667, 0.2988).

The calculation puts the density of states at the Fermi level at 0.15 states/eV per atom. The energy of formation from the pure elements is -0.18 eV/f.u.

***

Material: Na4HgSb
Method: DFT, PBE
State: optimized geometry

The structure belongs to space group Cmcm (No. 63); the cell edges are 6.8310, 18.4210 and 5.1301 Å and the angles 90.00°, 90.00° and 90.00°. The asymmetric unit holds Na at (0.2443, 0.0449, 0.2500), Na at (0.2493, 0.2064, 0.2500), Hg at (0.0000, 0.3947, 0.2500) and Sb at (0.0000, 0.1384, 0.7500).

The calculation puts the density of states at the Fermi level at 0.42 states/eV per atom. The calculation puts the uncorrected formation energy at -225.9 meV per atom.

***

Material: Mg3InBr
Method: DFT, PBE
State: optimized geometry

The structure belongs to space group Pm-3m (No. 221); the cell edges are 5.3034, 5.3034 and 5.3034 Å and the angles 90.00°, 90.00° and 90.00°. The asymmetric unit holds Mg at (0.0000, 0.0000, 0.5000), In at (0.5000, 0.5000, 0.5000) and Br at (0.0000, 0.0000, 0.0000).

The calculation puts the density of states at the Fermi level at 0.61 states/eV per atom. The calculation puts the uncorrected formation energy at 255.5 meV per atom.

***

Material: HfZnPdS2
Method: DFT, PBE
State: optimized geometry

The structure belongs to space group P4/mmm (No. 123); the cell edges are 4.8293, 4.8293 and 5.3605 Å and the angles 90.00°, 90.00° and 90.00°. The asymmetric unit holds Hf at (0.0000, 0.0000, 0.0000), Zn at (0.0000, 0.0000, 0.5000), Pd at (0.5000, 0.5000, 0.5000) and S at (0.0000, 0.5000, 0.0000).

The calculation puts the density of states at the Fermi level at 0.50 states/eV per atom. The calculation puts the uncorrected formation energy at 52.9 meV per atom.

***

Number 1: total moment 0.000 Bohr magnetons per cell. Number 2: total moment 0.000 Bohr magnetons per cell. Number 3: total moment 0.000 Bohr magnetons per cell. Number 4: total moment 4.910 Bohr magnetons per cell. Number 5: total moment 3.960 Bohr magnetons per cell. Number 6: total moment 0.000 Bohr magnetons per cell. Number 7: total moment 0.000 Bohr magnetons per cell. Number 8: total moment 0.000 Bohr magnetons per cell. Number 9: total moment 3.814 Bohr magnetons per cell. Number 10: total moment 0.000 Bohr magnetons per cell. Number 11: total moment 0.000 Bohr magnetons per cell. Number 12: total moment 0.000 Bohr magnetons per cell. Number 13: total moment 0.000 Bohr magnetons per cell. Number 14: total moment 0.000 Bohr magnetons per cell. Number 15: total moment 0.000 Bohr magnetons per cell. Number 16: total moment 1.110 Bohr magnetons per cell. Number 17: total moment 0.000 Bohr magnetons per cell. Number 18: total moment 0.001 Bohr magnetons per cell. Number 19: total moment 0.000 Bohr magnetons per cell. Number 20: total moment 1.396 Bohr magnetons per cell. Number 21: total moment 0.000 Bohr magnetons per cell. Number 22: total moment 0.000 Bohr magnetons per cell. Number 23: total moment 0.000 Bohr magnetons per cell. Number 24: total moment 0.000 Bohr magnetons per cell. Number 25: total moment 0.000 Bohr magnetons per cell.